An optimized crystal structure of KMn2Pb, computed with PBE.

Unit cell a=3.710 b=3.710 c=8.027 alpha=90.00 beta=90.00 gamma=92.95
Positions (direct):
K  0.500  0.500  0.750
Mn  0.000  0.000  0.089
Mn  0.000  0.000  0.411
Pb  0.500  0.500  0.250

Calculated values
N(E_F) ... 3.43 states/eV/f.u.
SG ... No. 65
Energy relative to the elements ... 0.7179 eV/atom
Offset from the most stable computed form ... 0.2107 eV per atom

=====

An optimized crystal structure of Li2HgRu, computed with PBE.

Unit cell a=6.980 b=6.980 c=5.633 alpha=51.72 beta=51.72 gamma=90.00
Positions (direct):
Ru  0.500  0.500  0.000
Ru  0.250  0.750  0.500
Hg  0.000  0.000  0.000
Hg  0.750  0.250  0.500
Li  0.620  0.125  0.250
Li  0.130  0.625  0.250
Li  0.375  0.380  0.750
Li  0.875  0.870  0.750

Calculated values
N(E_F) ... 2.32 states/eV/f.u.
SG ... No. 122
Energy relative to the elements ... 0.3847 eV/atom

=====

An optimized crystal structure of LiBi3Mo, computed with PBE.

Unit cell a=5.122 b=5.122 c=5.122 alpha=90.00 beta=90.00 gamma=90.00
Positions (direct):
Mo  0.500  0.500  0.500
Bi  0.000  0.500  0.000
Bi  0.000  0.000  0.500
Bi  0.500  0.000  0.000
Li  0.000  0.000  0.000

Calculated values
N(E_F) ... 2.40 states/eV/f.u.
SG ... No. 221
Energy relative to the elements ... 0.8279 eV/atom
Offset from the most stable computed form ... 0.3430 eV per atom

=====

An optimized crystal structure of ZnCr, computed with PBE.

Unit cell a=4.151 b=4.151 c=4.151 alpha=60.00 beta=60.00 gamma=60.00
Positions (direct):
Cr  0.000  0.000  0.000
Zn  0.250  0.250  0.250

Calculated values
N(E_F) ... 1.10 states/eV/f.u.
SG ... No. 216
Energy relative to the elements ... 1.3717 eV/atom

=====

An optimized crystal structure of BeP2BrO, computed with PBE.

Unit cell a=4.968 b=4.968 c=3.617 alpha=90.00 beta=90.00 gamma=90.00
Positions (direct):
P  0.000  0.500  0.000
P  0.500  0.000  0.000
O  0.000  0.000  0.500
Br  0.000  0.000  0.000
Be  0.500  0.500  0.500

Calculated values
N(E_F) ... 2.72 states/eV/f.u.
SG ... No. 123
Offset from the most stable computed form ... 1.2477 eV per atom
Raw formation energy ... 1455 meV/atom

=====

An optimized crystal structure of Sm3AlNi9Ge2, computed with PBE.

Unit cell a=5.969 b=5.969 c=8.585 alpha=90.00 beta=90.00 gamma=120.00
Positions (direct):
Sm  0.333  0.667  0.682
Sm  0.000  0.000  0.000
Sm  0.667  0.333  0.318
Al  0.000  0.000  0.500
Ni  0.866  0.134  0.720
Ni  0.866  0.732  0.720
Ni  0.268  0.134  0.720
Ni  0.732  0.866  0.280
Ni  0.134  0.268  0.280
Ni  0.134  0.866  0.280
Ni  0.500  0.000  0.000
Ni  0.000  0.500  0.000
Ni  0.500  0.500  0.000
Ge  0.333  0.667  0.185
Ge  0.667  0.333  0.815

Calculated values
N(E_F) ... 6.83 states/eV/f.u.
SG ... No. 164
Energy relative to the elements ... -0.2130 eV/atom

=====

An optimized crystal structure of Ce2SmDyBi4, computed with PBE.

Unit cell a=4.556 b=7.903 c=7.892 alpha=70.55 beta=90.00 gamma=90.00
Positions (direct):
Ce  0.000  0.000  0.000
Ce  0.500  0.000  0.500
Sm  0.500  0.500  0.000
Dy  0.000  0.500  0.500
Bi  0.000  0.747  0.748
Bi  0.000  0.253  0.252
Bi  0.500  0.745  0.254
Bi  0.500  0.255  0.746

Calculated values
N(E_F) ... 14.84 states/eV/f.u.
SG ... No. 10
Energy relative to the elements ... -0.8420 eV/atom

=====

An optimized crystal structure of BeTlSi2Se, computed with PBE.

Unit cell a=5.200 b=5.457 c=5.200 alpha=90.00 beta=90.00 gamma=90.00
Positions (direct):
Be  0.500  0.500  0.500
Tl  0.000  0.000  0.000
Si  0.000  0.000  0.500
Si  0.500  0.000  0.000
Se  0.000  0.500  0.000

Calculated values
N(E_F) ... 4.97 states/eV/f.u.
SG ... No. 123
Raw formation energy ... 1683 meV/atom

=====

An optimized crystal structure of CsCaIn2Br8, computed with PBE.

Unit cell a=7.265 b=7.265 c=11.111 alpha=70.92 beta=70.92 gamma=60.00
Positions (direct):
Cs  0.500  0.500  0.500
Ca  0.000  0.000  0.000
In  0.257  0.257  0.230
In  0.743  0.743  0.770
Br  0.173  0.173  0.482
Br  0.631  0.288  0.165
Br  0.827  0.827  0.518
Br  0.916  0.631  0.165
Br  0.084  0.369  0.835
Br  0.288  0.916  0.165
Br  0.712  0.084  0.835
Br  0.369  0.712  0.835

Calculated values
N(E_F) ... 7.27 states/eV/f.u.
SG ... No. 148
Raw formation energy ... -1196 meV/atom

=====

An optimized crystal structure of VCr2Mo, computed with PBE.

Unit cell a=5.405 b=5.405 c=5.405 alpha=149.91 beta=55.58 gamma=134.42
Positions (direct):
V  0.000  0.000  0.000
Cr  0.755  0.000  0.755
Cr  0.245  0.000  0.245
Mo  0.500  0.000  0.500

Calculated values
N(E_F) ... 4.28 states/eV/f.u.
SG ... No. 71
Energy relative to the elements ... 0.7209 eV/atom
Offset from the most stable computed form ... 0.7769 eV per atom

=====

An optimized crystal structure of In5SnHg2Pb, computed with PBE.

Unit cell a=7.497 b=7.497 c=10.690 alpha=110.53 beta=110.53 gamma=90.00
Positions (direct):
In  0.916  0.416  0.278
In  0.638  0.138  0.722
In  0.084  0.584  0.722
In  0.138  0.084  0.722
In  0.584  0.638  0.722
In  0.862  0.916  0.278
In  0.416  0.362  0.278
In  0.362  0.862  0.278
In  0.500  0.500  0.000
In  0.000  0.000  0.000
Sn  0.250  0.750  0.500
Sn  0.750  0.250  0.500
Hg  0.132  0.368  0.000
Hg  0.632  0.132  0.000
Hg  0.368  0.868  0.000
Hg  0.868  0.632  0.000
Pb  0.250  0.250  0.500
Pb  0.750  0.750  0.500

Calculated values
N(E_F) ... 1.61 states/eV/f.u.
SG ... No. 140
Energy relative to the elements ... 0.0662 eV/atom

=====

An optimized crystal structure of Cd3TeO4, computed with PBE.

Unit cell a=6.151 b=6.703 c=7.099 alpha=90.00 beta=90.00 gamma=90.00
Positions (direct):
Cd  0.485  0.863  0.000
Cd  0.998  0.645  0.248
Cd  0.498  0.355  0.252
Cd  0.985  0.137  0.500
Cd  0.498  0.355  0.748
Cd  0.998  0.645  0.752
Te  0.969  0.238  0.000
Te  0.469  0.762  0.500
O  0.197  0.688  0.000
O  0.596  0.170  0.000
O  0.136  0.312  0.248
O  0.636  0.688  0.252
O  0.096  0.830  0.500
O  0.697  0.312  0.500
O  0.636  0.688  0.748
O  0.136  0.312  0.752

Calculated values
SG ... No. 31
Raw formation energy ... -754 meV/atom

=====

An optimized crystal structure of Sm5Ho4Sc3, computed with PBE.

Unit cell a=5.243 b=6.212 c=13.113 alpha=95.31 beta=78.47 gamma=65.04
Positions (direct):
Sm  0.411  0.415  0.762
Sm  0.500  0.500  0.500
Sm  0.321  0.318  0.040
Sm  0.679  0.682  0.960
Sm  0.589  0.585  0.238
Ho  0.046  0.038  0.869
Ho  0.165  0.065  0.605
Ho  0.835  0.935  0.395
Ho  0.954  0.962  0.131
Sc  0.253  0.210  0.285
Sc  0.000  0.500  0.500
Sc  0.747  0.790  0.715

Calculated values
N(E_F) ... 17.31 states/eV/f.u.
SG ... No. 12
Energy relative to the elements ... 0.2084 eV/atom

=====

An optimized crystal structure of Sr3Np3NbN8, computed with PBE.

Unit cell a=6.857 b=6.857 c=7.184 alpha=118.50 beta=90.00 gamma=120.00
Positions (direct):
Sr  0.000  0.000  0.000
Sr  0.000  0.500  0.000
Sr  0.500  0.500  0.000
Np  0.500  0.000  0.500
Np  0.500  0.500  0.500
Np  0.000  0.500  0.500
Nb  0.000  0.000  0.500
N  0.265  0.530  0.295
N  0.735  0.470  0.705
N  0.780  0.560  0.318
N  0.220  0.440  0.682
N  0.780  0.038  0.318
N  0.220  0.962  0.682
N  0.258  0.038  0.318
N  0.742  0.962  0.682

Calculated values
N(E_F) ... 18.36 states/eV/f.u.
SG ... No. 166
Raw formation energy ... -998 meV/atom

=====

An optimized crystal structure of BeTl2PS4, computed with PBE.

Unit cell a=5.699 b=8.373 c=5.940 alpha=120.37 beta=121.77 gamma=88.63
Positions (direct):
Be  0.009  0.496  0.976
Tl  0.433  0.984  0.933
Tl  0.277  0.235  0.473
P  0.773  0.680  0.503
S  0.697  0.611  0.755
S  0.846  0.445  0.199
S  0.391  0.728  0.240
S  0.961  0.208  0.695

Calculated values
N(E_F) ... 4.22 states/eV/f.u.
SG ... No. 1
Raw formation energy ... -355 meV/atom

=====

An optimized crystal structure of SrTa2SbOs, computed with PBE.

Unit cell a=4.831 b=5.312 c=4.831 alpha=90.00 beta=90.00 gamma=90.00
Positions (direct):
Sb  0.000  0.500  0.000
Os  0.500  0.500  0.500
Sr  0.000  0.000  0.000
Ta  0.000  0.000  0.500
Ta  0.500  0.000  0.000

Calculated values
N(E_F) ... 6.47 states/eV/f.u.
SG ... No. 123
Raw formation energy ... 3226 meV/atom

=====

An optimized crystal structure of LaRe4, computed with PBE.

Unit cell a=12.342 b=12.209 c=2.792 alpha=86.19 beta=80.76 gamma=13.05
Positions (direct):
La  0.000  0.000  0.000
Re  0.386  0.386  0.614
Re  0.797  0.797  0.203
Re  0.203  0.203  0.797
Re  0.614  0.614  0.386

Calculated values
N(E_F) ... 5.46 states/eV/f.u.
SG ... No. 69
Energy relative to the elements ... 0.5556 eV/atom
Offset from the most stable computed form ... 0.4780 eV per atom

=====

An optimized crystal structure of CsCu2I2Cl, computed with PBE.

Unit cell a=6.122 b=8.573 c=8.300 alpha=105.61 beta=90.00 gamma=90.00
Positions (direct):
Cs  0.750  0.329  0.670
Cs  0.250  0.671  0.330
Cu  0.540  0.125  0.150
Cu  0.960  0.125  0.150
Cu  0.040  0.875  0.850
Cu  0.460  0.875  0.850
I  0.250  0.137  0.383
I  0.250  0.608  0.841
I  0.750  0.863  0.617
I  0.750  0.392  0.159
Cl  0.250  0.115  0.915
Cl  0.750  0.885  0.085

Calculated values
N(E_F) ... 0.00 states/eV/f.u.
SG ... No. 11
Raw formation energy ... -706 meV/atom

=====

An optimized crystal structure of La8Al2Tl, computed with PBE.

Unit cell a=5.142 b=8.938 c=9.228 alpha=118.97 beta=106.18 gamma=90.00
Positions (direct):
La  0.657  0.877  0.314
La  0.343  0.563  0.686
La  0.150  0.150  0.301
La  0.000  0.330  0.000
La  0.850  0.850  0.699
La  0.657  0.437  0.314
La  0.343  0.123  0.686
La  0.000  0.670  0.000
Al  0.196  0.696  0.392
Al  0.804  0.304  0.608
Tl  0.500  0.000  0.000

Calculated values
N(E_F) ... 14.56 states/eV/f.u.
SG ... No. 71
Energy relative to the elements ... -0.1794 eV/atom

=====

An optimized crystal structure of Pm3Tm4Sn4, computed with PBE.

Unit cell a=5.028 b=3.876 c=16.978 alpha=96.55 beta=98.52 gamma=90.00
Positions (direct):
Pm  0.354  0.854  0.708
Pm  0.646  0.146  0.292
Pm  0.000  0.000  0.000
Tm  0.262  0.262  0.524
Tm  0.094  0.594  0.188
Tm  0.906  0.406  0.812
Tm  0.738  0.738  0.476
Sn  0.816  0.316  0.631
Sn  0.454  0.454  0.908
Sn  0.546  0.546  0.092
Sn  0.184  0.684  0.369

Calculated values
N(E_F) ... 13.34 states/eV/f.u.
SG ... No. 71
Energy relative to the elements ... -0.4088 eV/atom

=====

An optimized crystal structure of HfNi7Ge2As2, computed with PBE.

Unit cell a=3.594 b=3.594 c=13.999 alpha=86.15 beta=86.15 gamma=90.62
Positions (direct):
Hf  0.000  0.000  0.000
Ni  0.500  0.500  0.000
Ni  0.385  0.385  0.416
Ni  0.615  0.615  0.584
Ni  0.963  0.463  0.140
Ni  0.463  0.963  0.140
Ni  0.537  0.037  0.860
Ni  0.037  0.537  0.860
Ge  0.864  0.864  0.423
Ge  0.136  0.136  0.577
As  0.565  0.565  0.751
As  0.435  0.435  0.249

Calculated values
N(E_F) ... 7.19 states/eV/f.u.
SG ... No. 12
Energy relative to the elements ... -0.2389 eV/atom

=====

An optimized crystal structure of NbPN2O, computed with PBE.

Unit cell a=3.636 b=3.636 c=3.432 alpha=90.00 beta=90.00 gamma=90.00
Positions (direct):
P  0.000  0.000  0.000
Nb  0.500  0.500  0.500
O  0.000  0.000  0.500
N  0.000  0.500  0.000
N  0.500  0.000  0.000

Calculated values
N(E_F) ... 2.27 states/eV/f.u.
SG ... No. 123
Raw formation energy ... -7 meV/atom

=====

An optimized crystal structure of La2Sm2HoCd5, computed with PBE.

Unit cell a=4.846 b=10.772 c=10.772 alpha=90.00 beta=90.00 gamma=90.00
Positions (direct):
La  0.000  0.675  0.175
La  0.000  0.325  0.825
La  0.000  0.175  0.325
La  0.000  0.825  0.675
Sm  0.000  0.125  0.625
Sm  0.000  0.875  0.375
Sm  0.000  0.625  0.875
Sm  0.000  0.375  0.125
Ho  0.000  0.000  0.000
Ho  0.000  0.500  0.500
Cd  0.500  0.191  0.066
Cd  0.500  0.809  0.934
Cd  0.500  0.066  0.809
Cd  0.500  0.691  0.434
Cd  0.500  0.934  0.191
Cd  0.500  0.309  0.566
Cd  0.500  0.566  0.691
Cd  0.500  0.434  0.309
Cd  0.500  0.500  0.000
Cd  0.500  0.000  0.500

Calculated values
N(E_F) ... 7.13 states/eV/f.u.
SG ... No. 127
Energy relative to the elements ... -0.2028 eV/atom